## one
Here is a relaxed structure of Mn2TlPd8 from Alexandria via LeMat-Bulk. Energies are from PBE.

a b c (Å): 7.392 7.392 6.316
angles (deg): 105.42 105.42 31.76
Atoms (fractional coordinates):
Mn 0.224 0.224 0.151
Mn 0.776 0.776 0.849
Tl 0.500 0.500 0.500
Pd 0.045 0.045 0.223
Pd 0.148 0.148 0.706
Pd 0.318 0.318 0.585
Pd 0.401 0.401 0.033
Pd 0.599 0.599 0.967
Pd 0.682 0.682 0.415
Pd 0.852 0.852 0.294
Pd 0.955 0.955 0.777

Output
Space-group type: C2/m (12)

=====

## two
Here is a relaxed structure of Mn2TlPd8 from Alexandria via LeMat-Bulk. Energies are from PBE.

a b c (Å): 7.336 7.336 7.336
angles (deg): 146.47 123.24 67.56
Atoms (fractional coordinates):
Mn 0.195 0.195 0.000
Mn 0.805 0.805 0.000
Tl 0.500 0.500 0.000
Pd 0.056 0.342 0.715
Pd 0.194 0.000 0.194
Pd 0.345 0.845 0.500
Pd 0.373 0.658 0.715
Pd 0.627 0.342 0.285
Pd 0.655 0.155 0.500
Pd 0.806 0.000 0.806
Pd 0.944 0.658 0.285

Output
Space-group type: Immm (71)

=====

Name the least stable of them. two.